[1]
Ac2SbPtRh6 (PBE-GGA, optimized geometry); volume = 21.12 Å³/atom; formation energy (no corrections) = -4.533 eV per formula unit
1.0
-2.561 -4.203 -4.758
5.239 -0.644 -4.249
3.461 -7.248 -4.205
Rh Sb Ac Pt
6 1 2 1
Direct
0.741 0.750 0.009
0.248 0.262 0.499
0.254 0.751 0.815
0.259 0.250 0.991
0.752 0.738 0.501
0.746 0.249 0.185
0.000 0.000 0.000
0.764 0.235 0.530
0.236 0.765 0.470
0.500 0.500 0.000

***

[2]
Mg8Hg2Rh (PBE-GGA, optimized geometry); volume = 20.70 Å³/atom; energy of formation from the pure elements = -0.230 eV/atom
1.0
-2.569 -3.930 -0.439
5.585 -3.444 -1.841
-0.020 1.965 7.857
Mg Hg Rh
8 2 1
Direct
0.182 0.241 0.363
0.655 0.919 0.309
0.345 0.081 0.691
0.398 0.582 0.796
0.602 0.418 0.204
0.982 0.206 0.964
0.018 0.794 0.036
0.818 0.759 0.637
0.819 0.326 0.637
0.181 0.674 0.363
0.500 0.000 0.000

***

[3]
Cs2RbPbF (PBE-GGA, optimized geometry); volume = 36.82 Å³/atom; formation energy (no corrections) = -4.933 eV per formula unit
1.0
5.746 0.000 0.000
0.000 5.746 0.000
0.000 0.000 5.576
Cs F Pb Rb
2 1 1 1
Direct
0.500 0.000 0.000
0.000 0.500 0.000
0.000 0.000 0.000
0.500 0.500 0.500
0.000 0.000 0.500